Re2Sn2Ru | GGA-PBE | optimized geometry

DFT formation energy   1.136 eV per atom
Symmetry   No. 139
Total magnetic moment   2.18 μB per formula unit

abc: 5.130 5.130 5.348
angles: 61.34 61.34 90.00
Last column: magnetic moment on the atom in μB.
Atoms (fractional coordinates):
Re 0.354 0.354 0.293  0.28
Re 0.646 0.646 0.707  0.28
Sn 0.750 0.250 0.500  0.00
Sn 0.250 0.750 0.500  0.00
Ru 0.000 0.000 0.000  1.52